Material: LaAgSeO
Method: DFT, PBE
State: relaxed

## Properties
Symmetry ... P2_1 (4)
Total energy ... -5.938 eV per atom

a = 5.967 Å, b = 5.966 Å, c = 11.626 Å
α = 90.00°, β = 92.88°, γ = 90.00°
Atoms (fractional coordinates):
La 0.493 0.817 0.900
La 0.991 0.318 0.900
La 0.009 0.818 0.100
La 0.507 0.317 0.100
O 0.250 0.567 0.000
O 0.750 0.067 0.000
O 0.752 0.566 0.999
O 0.248 0.066 0.001
Ag 0.692 0.597 0.496
Ag 0.308 0.097 0.504
Ag 0.002 0.844 0.700
Ag 0.998 0.344 0.300
Se 0.708 0.551 0.707
Se 0.292 0.051 0.293
Se 0.702 0.640 0.285
Se 0.298 0.140 0.715